Zn3CdAg3 PBE-GGA optimized geometry; symmetry = Pm-3n (223)
1.0
7.2233 0.0000 0.0000
0.0000 7.2233 0.0000
0.0000 0.0000 7.2233
Zn Ag Cd
6 6 2
direct
0.2500 0.5000 0.0000 Zn
0.5000 0.0000 0.7500 Zn
0.5000 0.0000 0.2500 Zn
0.7500 0.5000 0.0000 Zn
0.0000 0.2500 0.5000 Zn
0.0000 0.7500 0.5000 Zn
0.0000 0.5000 0.2500 Ag
0.0000 0.5000 0.7500 Ag
0.5000 0.2500 0.0000 Ag
0.2500 0.0000 0.5000 Ag
0.7500 0.0000 0.5000 Ag
0.5000 0.7500 0.0000 Ag
0.0000 0.0000 0.0000 Cd
0.5000 0.5000 0.5000 Cd

ZnCd6Ag8 PBE-GGA optimized geometry; symmetry = R-3 (148)
1.0
7.5048 -0.0001 0.0000
3.7525 6.4993 0.0000
3.7524 2.1664 6.0136
Ag Cd Zn
8 6 1
direct
0.7709 0.5984 0.3120 Ag
0.8512 0.8512 0.4465 Ag
0.4016 0.6813 0.6880 Ag
0.1488 0.1488 0.5535 Ag
0.3187 0.7709 0.3120 Ag
0.2291 0.4016 0.6880 Ag
0.5984 0.3187 0.3120 Ag
0.6813 0.2291 0.6880 Ag
0.0628 0.2249 0.1729 Cd
0.9372 0.7751 0.8271 Cd
0.4607 0.9372 0.8271 Cd
0.7751 0.4607 0.8271 Cd
0.5393 0.0628 0.1729 Cd
0.2249 0.5393 0.1729 Cd
0.0000 0.0000 0.0000 Zn

ZnCdAg2 PBE-GGA optimized geometry; symmetry = P4/mmm (123)
1.0
3.2666 0.0000 0.0000
0.0000 3.2666 0.0000
0.0000 0.0000 6.6676
Ag Cd Zn
2 1 1
direct
0.5000 0.5000 0.2255 Ag
0.5000 0.5000 0.7745 Ag
0.0000 0.0000 0.5000 Cd
0.0000 0.0000 0.0000 Zn

ZnCdAg4 PBE-GGA optimized geometry; symmetry = C2/c (15)
1.0
-1.3358 -5.0572 0.3107
1.6866 1.7865 -6.9704
5.6232 0.1668 4.3565
Ag Cd Zn
8 2 2
direct
0.6368 0.0886 0.3781 Ag
0.7587 0.7106 0.6219 Ag
0.2413 0.2894 0.3781 Ag
0.2229 0.5900 0.7657 Ag
0.0428 0.1757 0.7657 Ag
0.9572 0.8243 0.2343 Ag
0.3632 0.9114 0.6219 Ag
0.7771 0.4100 0.2343 Ag
0.6545 0.4045 0.8090 Cd
0.3455 0.5955 0.1910 Cd
0.2507 0.0007 0.0015 Zn
0.7493 0.9993 0.9985 Zn

ZnCdAg PBE-GGA optimized geometry; symmetry = P2_1/m (11)
1.0
3.1409 0.0003 0.3527
-0.0008 3.0450 0.0050
-0.0743 -0.0193 11.5390
Ag Zn Cd
2 2 2
direct
0.2863 0.7910 0.9685 Ag
0.9585 0.2914 0.5439 Ag
0.8455 0.2914 0.8221 Zn
0.3992 0.7915 0.6901 Zn
0.5265 0.7910 0.3663 Cd
0.7186 0.2904 0.1462 Cd

Zn3CdAg2 PBE-GGA optimized geometry; symmetry = C2/m (12)
1.0
-3.6228 -0.9843 -0.7575
3.9662 -6.7466 -0.5208
-2.4381 3.3181 7.3491
Cd Ag Zn
2 4 6
direct
0.0855 0.1709 0.9582 Cd
0.9145 0.8291 0.0418 Cd
0.5885 0.1770 0.2332 Ag
0.2415 0.4831 0.8547 Ag
0.7585 0.5169 0.1453 Ag
0.4115 0.8230 0.7668 Ag
0.2512 0.5025 0.3814 Zn
0.9198 0.8395 0.5364 Zn
0.7488 0.4975 0.6186 Zn
0.4200 0.8400 0.3094 Zn
0.0802 0.1605 0.4636 Zn
0.5800 0.1600 0.6906 Zn

Zn5CdAg8 PBE-GGA optimized geometry; symmetry = I-4 (82)
1.0
6.8885 -0.0113 0.0194
-2.3414 6.4783 -0.0194
-2.2056 -3.2812 5.6409
Cd Ag Zn
1 8 5
direct
0.2500 0.5000 0.7500 Cd
0.5146 0.5995 0.2536 Ag
0.3376 0.2618 0.4004 Ag
0.1386 0.7382 0.0758 Ag
0.0849 0.7390 0.4854 Ag
0.9242 0.0627 0.6624 Ag
0.7464 0.2610 0.3459 Ag
0.6541 0.4005 0.9151 Ag
0.5996 0.9373 0.8614 Ag
0.7872 0.6599 0.6970 Zn
0.5000 0.0000 0.5000 Zn
0.3030 0.0902 0.9629 Zn
0.8727 0.9098 0.2128 Zn
0.0371 0.3401 0.1273 Zn

Zn2Cd5Ag2 PBE-GGA optimized geometry; symmetry = C2/m (12)
1.0
4.1075 0.0000 1.5248
1.3797 4.3070 2.5781
-1.2199 -0.0058 9.5808
Zn Cd Ag
2 5 2
direct
0.7542 0.0760 0.4157 Zn
0.2458 0.9240 0.5843 Zn
0.9330 0.4732 0.6609 Cd
0.0000 0.0000 0.0000 Cd
0.3775 0.0191 0.2260 Cd
0.0670 0.5268 0.3391 Cd
0.6225 0.9809 0.7740 Cd
0.6865 0.5179 0.1091 Ag
0.3135 0.4821 0.8909 Ag

Zn5Cd2Ag4 PBE-GGA optimized geometry; symmetry = C2/m (12)
1.0
-1.9621 -0.6607 2.2671
-5.2178 -0.8913 -4.7756
6.3051 -7.4518 1.2062
Ag Zn Cd
4 5 2
direct
0.3159 0.5156 0.6319 Ag
0.6841 0.4844 0.3681 Ag
0.0383 0.3536 0.0767 Ag
0.9617 0.6464 0.9233 Ag
0.1277 0.1252 0.2554 Zn
0.7480 0.1550 0.4960 Zn
0.5000 0.0000 0.0000 Zn
0.8723 0.8748 0.7446 Zn
0.2520 0.8450 0.5040 Zn
0.3938 0.2438 0.7877 Cd
0.6062 0.7562 0.2123 Cd

ZnCd8Ag6 PBE-GGA optimized geometry; symmetry = P-31m (162)
1.0
5.7272 0.0000 0.0000
0.0000 6.9844 -4.0325
0.0000 0.0000 8.0649
Ag Cd Zn
6 8 1
direct
0.3597 0.9997 0.3201 Ag
0.6403 0.0003 0.6799 Ag
0.6403 0.3201 0.3204 Ag
0.3597 0.3204 0.0003 Ag
0.6403 0.6796 0.9997 Ag
0.3597 0.6799 0.6796 Ag
0.8645 0.6617 0.6613 Cd
0.1355 0.0004 0.6617 Cd
0.8645 0.9996 0.3383 Cd
0.1355 0.3383 0.3387 Cd
0.5005 0.6667 0.3333 Cd
0.8645 0.3387 0.0004 Cd
0.4995 0.3333 0.6667 Cd
0.1355 0.6613 0.9996 Cd
0.5000 0.0000 0.0000 Zn

Zn2Cd5Ag12 PBE-GGA optimized geometry; symmetry = C2/m (12)
1.0
-7.8831 -0.4150 -0.3647
3.8965 -3.6580 5.5537
-0.4736 5.6986 3.7528
Ag Zn Cd
12 2 5
direct
0.4482 0.8965 0.6886 Ag
0.5518 0.1035 0.3114 Ag
0.8215 0.2441 0.6542 Ag
0.3406 0.3107 0.2405 Ag
0.9109 0.8217 0.1098 Ag
0.4226 0.2441 0.6542 Ag
0.6594 0.6893 0.7595 Ag
0.1785 0.7559 0.3458 Ag
0.0891 0.1783 0.8902 Ag
0.9700 0.3107 0.2405 Ag
0.5774 0.7559 0.3458 Ag
0.0300 0.6893 0.7595 Ag
0.2989 0.0000 0.0000 Zn
0.7011 0.0000 0.0000 Zn
0.3043 0.6087 0.0102 Cd
0.0000 0.0000 0.5000 Cd
0.7622 0.5244 0.4189 Cd
0.2378 0.4756 0.5811 Cd
0.6957 0.3913 0.9898 Cd

Zn2CdAg PBE-GGA optimized geometry; symmetry = I-42d (122)
1.0
7.6025 0.0000 0.0000
0.0000 7.6025 0.0000
3.8012 3.8012 2.7472
Cd Ag Zn
2 2 4
direct
0.7500 0.2500 0.5000 Cd
0.0000 0.0000 0.0000 Cd
0.2500 0.7500 0.5000 Ag
0.5000 0.5000 0.0000 Ag
0.6094 0.1250 0.2500 Zn
0.8750 0.8594 0.7500 Zn
0.3750 0.3906 0.7500 Zn
0.1406 0.6250 0.2500 Zn

| no. | calculated formation energy (eV per atom) |
| --- | --- |
| 1 | 0.485 |
| 2 | 0.017 |
| 3 | -0.044 |
| 4 | 0.006 |
| 5 | -0.014 |
| 6 | -0.010 |
| 7 | 0.065 |
| 8 | 0.008 |
| 9 | -0.011 |
| 10 | -0.018 |
| 11 | 0.001 |
| 12 | 0.195 |